GGA-PBE AgSnSb2Te4, optimized geometry; magnetic moment = 0.00 Bohr magnetons per cell; total energy = -3.545 eV per atom; crystal system = monoclinic
1.0
7.634 0.000 0.000
0.000 4.434 0.000
-2.576 0.000 7.188
Ag Sn Sb Te
1 1 2 4
Direct
0.000 0.000 0.000
0.500 0.500 0.000
0.000 0.500 0.500
0.500 0.000 0.500
0.242 0.500 0.244
0.245 0.000 0.752
0.755 0.000 0.248
0.758 0.500 0.756